# Be2SbCl (PBE, optimized geometry)
# space-group type: No. 65
# relative energy among the computed polymorphs: 0.610 eV/atom
# crystal system: orthorhombic
# formation energy (no corrections): 0.4550 eV per atom
# size of the total moment: 0.000 μB per atom
# total energy: -2.900 eV/atom
data_Be2SbCl
_chemical_formula_sum 'Be2 Sb1 Cl1'
_cell_length_a 3.448
_cell_length_b 3.448
_cell_length_c 6.951
_cell_angle_alpha 90.00
_cell_angle_beta 90.00
_cell_angle_gamma 117.18
_symmetry_space_group_name_H-M 'P 1'
_symmetry_Int_Tables_number 1
_symmetry_space_group_name_Hall 'P 1'
loop_
_atom_site_label
_atom_site_fract_x
_atom_site_fract_y
_atom_site_fract_z
Sb1 0.500 0.500 0.750
Be1 0.000 0.000 0.993
Be2 0.000 0.000 0.507
Cl1 0.500 0.500 0.250